DFT (PBE) results for TcHg2Cl after structural relaxation.

a b c (Å): 3.0053 3.0053 9.8372
angles (deg): 90.00 90.00 90.00
Positions (direct):
Tc: 0.0000 0.0000 0.0000
Hg: 0.0000 0.0000 0.4881
Hg: 0.5000 0.5000 0.7748
Cl: 0.5000 0.5000 0.1229

Summary:
**Total moment**: 0.000 μB/atom
**VASP energy**: -2.8707 eV/atom
**Formation energy without anion corrections**: 0.333 eV/atom